Record 1
{
  "formula": "Sc3BrN",
  "functional": "SCAN",
  "state": "PBEsol geometry",
  "final_energy_ev_per_atom": -14.97,
  "relative_energy_ev_per_atom": 0.000,
  "raw_formation_energy_mev_per_atom": -673,
  "n_ef_per_ev_cell": 6.815,
  "cell": [[4.4394, 0.0000, 0.0000], [0.0000, 4.4394, 0.0000], [0.0000, 0.0000, 4.4394]],
  "species": ["Sc", "Br", "Sc", "N", "Sc"],
  "frac_coords": [[0.5000, 0.0000, 0.0000], [0.5000, 0.5000, 0.5000], [0.0000, 0.0000, 0.5000], [0.0000, 0.0000, 0.0000], [0.0000, 0.5000, 0.0000]]
}


Record 2
{
  "formula": "Mg",
  "functional": "SCAN",
  "state": "PBEsol geometry",
  "final_energy_ev_per_atom": -4.95,
  "relative_energy_ev_per_atom": 0.022,
  "formation_enthalpy_0k_mev_per_atom": 22.4,
  "n_ef_per_ev_cell": 0.442,
  "cell": [[3.1754, 0.0000, 0.0000], [1.5877, 2.7500, 0.0000], [1.5877, 0.9167, 2.5927]],
  "species": ["Mg"],
  "frac_coords": [[0.0000, 0.0000, 0.0000]]
}


Record 3
{
  "formula": "Ca2ReRh",
  "functional": "SCAN",
  "state": "PBEsol geometry",
  "final_energy_ev_per_atom": -30.44,
  "formation_enthalpy_0k_mev_per_atom": 610.0,
  "n_ef_per_ev_cell": 2.947,
  "cell": [[2.8868, 0.0000, 0.0000], [0.0000, 5.1820, 0.0000], [0.0000, 0.0000, 5.1820]],
  "species": ["Ca", "Ca", "Rh", "Re"],
  "frac_coords": [[0.0000, 0.0000, 0.5000], [0.0000, 0.5000, 0.0000], [0.5000, 0.0000, 0.0000], [0.5000, 0.5000, 0.5000]]
}